[1]
# PrSmPb (PBE, optimized geometry)
# Total moment, μB per cell: 0.00
# ΔE to the lowest computed polymorph, eV/atom: 0.1099
# E_tot, eV/atom: -4.741
# Symmetry: I4mm
data_PrSmPb
_chemical_formula_sum 'Pr1 Sm1 Pb1'
_symmetry_space_group_name_H-M 'P 1'
_symmetry_Int_Tables_number 1
_cell_length_a 4.2477
_cell_length_b 4.2477
_cell_length_c 5.9087
_cell_angle_alpha 111.07
_cell_angle_beta 111.07
_cell_angle_gamma 90.00
loop_
_symmetry_equiv_pos_as_xyz
'x,y,z'
loop_
_atom_site_label
_atom_site_fract_x
_atom_site_fract_y
_atom_site_fract_z
Pb1 0.2810 0.2810 0.5621
Pr1 0.9412 0.9412 0.8824
Sm1 0.6278 0.6278 0.2555

[2]
# PrSmPb2 (PBE, optimized geometry)
# Total moment, μB per cell: 0.01
# E_tot, eV/atom: -4.735
# Symmetry: P4/mmm
data_PrSmPb2
_chemical_formula_sum 'Pr1 Sm1 Pb2'
_symmetry_space_group_name_H-M 'P 1'
_symmetry_Int_Tables_number 1
_cell_length_a 4.6008
_cell_length_b 5.1078
_cell_length_c 5.1078
_cell_angle_alpha 90.00
_cell_angle_beta 90.00
_cell_angle_gamma 90.00
loop_
_symmetry_equiv_pos_as_xyz
'x,y,z'
loop_
_atom_site_label
_atom_site_fract_x
_atom_site_fract_y
_atom_site_fract_z
Pb1 0.0000 0.0000 0.5000
Pb2 0.0000 0.5000 0.0000
Pr1 0.5000 0.5000 0.5000
Sm1 0.5000 0.0000 0.0000

[3]
# Pr8Sm2Pb (PBE, optimized geometry)
# Total moment, μB per cell: 0.00
# ΔE to the lowest computed polymorph, eV/atom: 0.0643
# E_tot, eV/atom: -4.688
# Symmetry: Immm
data_Pr8Sm2Pb
_chemical_formula_sum 'Pr8 Sm2 Pb1'
_symmetry_space_group_name_H-M 'P 1'
_symmetry_Int_Tables_number 1
_cell_length_a 5.6828
_cell_length_b 7.8030
_cell_length_c 10.1322
_cell_angle_alpha 112.65
_cell_angle_beta 106.29
_cell_angle_gamma 90.00
loop_
_symmetry_equiv_pos_as_xyz
'x,y,z'
loop_
_atom_site_label
_atom_site_fract_x
_atom_site_fract_y
_atom_site_fract_z
Pr1 0.6380 0.8629 0.2761
Pr2 0.3620 0.5869 0.7240
Pr3 0.1765 0.1765 0.3531
Pr4 0.0000 0.2611 0.0000
Pr5 0.8235 0.8235 0.6469
Pr6 0.6380 0.4131 0.2760
Pr7 0.3620 0.1371 0.7239
Pr8 0.0000 0.7389 0.0000
Sm1 0.1924 0.6924 0.3848
Sm2 0.8076 0.3076 0.6152
Pb1 0.5000 0.0000 0.0000

[4]
# PrSm3Pb5 (PBE, optimized geometry)
# Total moment, μB per cell: 0.00
# E_tot, eV/atom: -4.614
# Symmetry: P6_3/mcm
data_PrSm3Pb5
_chemical_formula_sum 'Pr2 Sm6 Pb10'
_symmetry_space_group_name_H-M 'P 1'
_symmetry_Int_Tables_number 1
_cell_length_a 6.5747
_cell_length_b 9.7783
_cell_length_c 9.7783
_cell_angle_alpha 120.00
_cell_angle_beta 90.00
_cell_angle_gamma 90.00
loop_
_symmetry_equiv_pos_as_xyz
'x,y,z'
loop_
_atom_site_label
_atom_site_fract_x
_atom_site_fract_y
_atom_site_fract_z
Pr1 0.0000 0.0000 0.0000
Pr2 0.5000 0.0000 0.0000
Sm1 0.7500 0.3776 0.0000
Sm2 0.7500 0.6224 0.6224
Sm3 0.7500 0.0000 0.3776
Sm4 0.2500 0.6224 0.0000
Sm5 0.2500 0.3776 0.3776
Sm6 0.2500 0.0000 0.6224
Pb1 0.0000 0.3333 0.6667
Pb2 0.5000 0.6667 0.3333
Pb3 0.0000 0.6667 0.3333
Pb4 0.5000 0.3333 0.6667
Pb5 0.7500 0.7044 0.0000
Pb6 0.7500 0.2956 0.2956
Pb7 0.7500 0.0000 0.7044
Pb8 0.2500 0.2956 0.0000
Pb9 0.2500 0.7044 0.7044
Pb10 0.2500 0.0000 0.2956

[5]
# Pr2SmPb2 (PBE, optimized geometry)
# Total moment, μB per cell: 0.00
# ΔE to the lowest computed polymorph, eV/atom: 0.0000
# E_tot, eV/atom: -4.776
# Symmetry: C2/m
data_Pr2SmPb2
_chemical_formula_sum 'Pr4 Sm2 Pb4'
_symmetry_space_group_name_H-M 'P 1'
_symmetry_Int_Tables_number 1
_cell_length_a 4.9458
_cell_length_b 7.0255
_cell_length_c 10.6039
_cell_angle_alpha 77.23
_cell_angle_beta 76.51
_cell_angle_gamma 69.39
loop_
_symmetry_equiv_pos_as_xyz
'x,y,z'
loop_
_atom_site_label
_atom_site_fract_x
_atom_site_fract_y
_atom_site_fract_z
Pr1 0.3184 0.2764 0.0868
Pr2 0.4912 0.3407 0.6769
Pr3 0.6816 0.7236 0.9132
Pr4 0.5088 0.6593 0.3231
Sm1 0.7888 0.0778 0.3446
Sm2 0.2112 0.9222 0.6554
Pb1 0.9572 0.1967 0.8890
Pb2 0.1321 0.3116 0.4242
Pb3 0.0428 0.8033 0.1110
Pb4 0.8679 0.6884 0.5758

[6]
# PrSmPb (PBE, optimized geometry)
# Total moment, μB per cell: 0.00
# ΔE to the lowest computed polymorph, eV/atom: 0.0000
# E_tot, eV/atom: -4.851
# Symmetry: P4/nmm
data_PrSmPb
_chemical_formula_sum 'Pr2 Sm2 Pb2'
_symmetry_space_group_name_H-M 'P 1'
_symmetry_Int_Tables_number 1
_cell_length_a 4.6982
_cell_length_b 4.6982
_cell_length_c 8.9149
_cell_angle_alpha 90.00
_cell_angle_beta 90.00
_cell_angle_gamma 90.00
loop_
_symmetry_equiv_pos_as_xyz
'x,y,z'
loop_
_atom_site_label
_atom_site_fract_x
_atom_site_fract_y
_atom_site_fract_z
Pr1 0.0000 0.5000 0.8472
Pr2 0.5000 0.0000 0.1528
Sm1 0.5000 0.5000 0.5000
Sm2 0.0000 0.0000 0.5000
Pb1 0.0000 0.5000 0.2209
Pb2 0.5000 0.0000 0.7791

[7]
# Pr8SmPb2 (PBE, optimized geometry)
# Total moment, μB per cell: 0.00
# E_tot, eV/atom: -4.691
# Symmetry: C2/m
data_Pr8SmPb2
_chemical_formula_sum 'Pr8 Sm1 Pb2'
_symmetry_space_group_name_H-M 'P 1'
_symmetry_Int_Tables_number 1
_cell_length_a 6.5046
_cell_length_b 9.2165
_cell_length_c 9.2165
_cell_angle_alpha 44.22
_cell_angle_beta 93.63
_cell_angle_gamma 93.63
loop_
_symmetry_equiv_pos_as_xyz
'x,y,z'
loop_
_atom_site_label
_atom_site_fract_x
_atom_site_fract_y
_atom_site_fract_z
Pr1 0.4020 0.3504 0.8443
Pr2 0.5980 0.1557 0.6496
Pr3 0.1649 0.7915 0.7915
Pr4 0.8351 0.2085 0.2085
Pr5 0.4020 0.8443 0.3504
Pr6 0.5980 0.6496 0.1557
Pr7 0.9025 0.5830 0.5830
Pr8 0.0975 0.4170 0.4170
Sm1 0.0000 0.0000 0.0000
Pb1 0.6685 0.7427 0.7427
Pb2 0.3315 0.2573 0.2573

[8]
# TbPrSmPb (PBE, optimized geometry)
# Total moment, μB per cell: 0.01
# E_tot, eV/atom: -4.602
# Symmetry: F-43m
data_TbPrSmPb
_chemical_formula_sum 'Tb1 Pr1 Sm1 Pb1'
_symmetry_space_group_name_H-M 'P 1'
_symmetry_Int_Tables_number 1
_cell_length_a 5.5922
_cell_length_b 5.5922
_cell_length_c 5.5922
_cell_angle_alpha 60.00
_cell_angle_beta 60.00
_cell_angle_gamma 60.00
loop_
_symmetry_equiv_pos_as_xyz
'x,y,z'
loop_
_atom_site_label
_atom_site_fract_x
_atom_site_fract_y
_atom_site_fract_z
Pb1 0.2500 0.2500 0.2500
Pr1 0.0000 0.0000 0.0000
Tb1 0.7500 0.7500 0.7500
Sm1 0.5000 0.5000 0.5000

Number 1: ΔH_f (0 K) -0.34 eV/atom, density 9.02 g cm⁻³. Number 2: ΔH_f (0 K) -0.51 eV/atom, density 9.76 g cm⁻³. Number 3: ΔH_f (0 K) -0.02 eV/atom, density 6.87 g cm⁻³. Number 4: ΔH_f (0 K) -0.45 eV/atom, density 9.93 g cm⁻³. Number 5: ΔH_f (0 K) -0.44 eV/atom, density 8.48 g cm⁻³. Number 6: ΔH_f (0 K) -0.45 eV/atom, density 8.41 g cm⁻³. Number 7: ΔH_f (0 K) -0.11 eV/atom, density 7.31 g cm⁻³. Number 8: ΔH_f (0 K) -0.14 eV/atom, density 8.83 g cm⁻³.